Entry 1:
Material: Ti8Bi2P
Method: DFT, GGA-PBE
State: relaxed

Cell lengths 4.642, 5.660, 8.677 Å; angles 112.27, 105.51, 90.00 degrees
Fractional coordinates of all 11 atoms:
Ti: 0.420 0.539 0.841
Ti: 0.641 0.022 0.283
Ti: 0.773 0.670 0.547
Ti: 0.996 0.240 0.993
Ti: 0.227 0.330 0.453
Ti: 0.359 0.978 0.717
Ti: 0.580 0.461 0.159
Ti: 0.004 0.760 0.007
Bi: 0.830 0.259 0.661
Bi: 0.170 0.741 0.339
P: 0.500 0.000 0.000

SG ... No. 12
Density of states at the Fermi level ... 13.83 states/eV/f.u.
Volume ... 201.9 Å³ per cell
Formation energy from the elements ... -0.18 eV/atom

=====

Entry 2:
Material: TiBiP2
Method: DFT, GGA-PBE
State: relaxed

Cell lengths 5.993, 5.993, 7.312 Å; angles 65.81, 65.81, 90.00 degrees
Last column: magnetic moment on the atom in μB.
Fractional coordinates of all 8 atoms:
P: 0.569 0.125 0.250  -0.03
P: 0.181 0.625 0.250  -0.03
P: 0.375 0.431 0.750  -0.03
P: 0.875 0.819 0.750  -0.03
Bi: 0.000 0.000 0.000  0.09
Bi: 0.750 0.250 0.500  0.09
Ti: 0.500 0.500 0.000  0.56
Ti: 0.250 0.750 0.500  0.55

SG ... No. 122
Density of states at the Fermi level ... 4.44 states/eV/f.u.
Volume ... 214.0 Å³ per cell
Formation energy from the elements ... -0.07 eV/atom

=====

Entry 3:
Material: Ti2BiP
Method: DFT, GGA-PBE
State: relaxed

Cell lengths 5.950, 5.950, 7.285 Å; angles 65.90, 65.90, 90.00 degrees
Last column: magnetic moment on the atom in μB.
Fractional coordinates of all 8 atoms:
P: 0.500 0.500 0.000  -0.02
P: 0.250 0.750 0.500  -0.02
Bi: 0.000 0.000 0.000  -0.02
Bi: 0.750 0.250 0.500  -0.02
Ti: 0.565 0.125 0.250  0.23
Ti: 0.185 0.625 0.250  0.22
Ti: 0.375 0.435 0.750  0.23
Ti: 0.875 0.815 0.750  0.23

SG ... No. 122
Density of states at the Fermi level ... 5.95 states/eV/f.u.
Volume ... 210.6 Å³ per cell
Formation energy from the elements ... 0.01 eV/atom

=====

What did the second record say?
Material: TiBiP2
Method: DFT, GGA-PBE
State: relaxed

Cell lengths 5.993, 5.993, 7.312 Å; angles 65.81, 65.81, 90.00 degrees
Last column: magnetic moment on the atom in μB.
Fractional coordinates of all 8 atoms:
P: 0.569 0.125 0.250  -0.03
P: 0.181 0.625 0.250  -0.03
P: 0.375 0.431 0.750  -0.03
P: 0.875 0.819 0.750  -0.03
Bi: 0.000 0.000 0.000  0.09
Bi: 0.750 0.250 0.500  0.09
Ti: 0.500 0.500 0.000  0.56
Ti: 0.250 0.750 0.500  0.55

SG ... No. 122
Density of states at the Fermi level ... 4.44 states/eV/f.u.
Volume ... 214.0 Å³ per cell
Formation energy from the elements ... -0.07 eV/atom

=====

Repeat the third record exactly.
Material: Ti2BiP
Method: DFT, GGA-PBE
State: relaxed

Cell lengths 5.950, 5.950, 7.285 Å; angles 65.90, 65.90, 90.00 degrees
Last column: magnetic moment on the atom in μB.
Fractional coordinates of all 8 atoms:
P: 0.500 0.500 0.000  -0.02
P: 0.250 0.750 0.500  -0.02
Bi: 0.000 0.000 0.000  -0.02
Bi: 0.750 0.250 0.500  -0.02
Ti: 0.565 0.125 0.250  0.23
Ti: 0.185 0.625 0.250  0.22
Ti: 0.375 0.435 0.750  0.23
Ti: 0.875 0.815 0.750  0.23

SG ... No. 122
Density of states at the Fermi level ... 5.95 states/eV/f.u.
Volume ... 210.6 Å³ per cell
Formation energy from the elements ... 0.01 eV/atom